No. 1
Material: Ho2PuPa
Method: DFT, PBE
State: optimized geometry

Lattice parameters (Å, degrees): 5.083 4.636 4.636 90.00 90.00 90.00
Site moments in Bohr magnetons follow the coordinates.
Sites, in units of the cell vectors:
Pa 0.500 0.500 0.500  0.70
Ho 0.000 0.500 0.000  0.06
Ho 0.000 0.000 0.500  0.06
Pu 0.500 0.000 0.000  5.34

Properties
Total DFT energy (no corrections): -8.0426 eV/atom



No. 2
Material: HoPuPa
Method: DFT, PBE
State: optimized geometry

Lattice parameters (Å, degrees): 5.456 5.456 6.990 67.03 67.03 60.00
Site moments in Bohr magnetons follow the coordinates.
Sites, in units of the cell vectors:
Pu 0.718 0.718 0.845  5.14
Pu 0.282 0.282 0.155  5.14
Ho 0.901 0.901 0.297  0.05
Ho 0.099 0.099 0.703  0.05
Pa 0.577 0.577 0.268  0.77
Pa 0.423 0.423 0.732  0.77

Properties
Relative energy among the computed polymorphs: 0.367 eV/atom
Total DFT energy (no corrections): -8.9792 eV/atom



No. 3
Material: HoPuPa
Method: DFT, PBE
State: optimized geometry

Lattice parameters (Å, degrees): 3.409 3.409 7.284 103.53 103.53 90.00
Site moments in Bohr magnetons follow the coordinates.
Sites, in units of the cell vectors:
Ho 0.007 0.007 0.013  -0.05
Pa 0.676 0.676 0.352  0.24
Pu 0.317 0.317 0.635  5.29

Properties
Relative energy among the computed polymorphs: 0.000 eV/atom
Total DFT energy (no corrections): -9.3464 eV/atom



No. 4
Material: HoPuPa
Method: DFT, PBE
State: optimized geometry

Lattice parameters (Å, degrees): 3.312 5.250 5.250 120.00 90.00 90.00
Site moments in Bohr magnetons follow the coordinates.
Sites, in units of the cell vectors:
Pu 0.166 0.000 0.000  5.35
Ho 0.667 0.333 0.667  0.09
Pa 0.167 0.667 0.333  0.45

Properties
Relative energy among the computed polymorphs: 0.093 eV/atom
Total DFT energy (no corrections): -9.2530 eV/atom



No. 5
Material: Ho2PuPaS4
Method: DFT, PBE
State: optimized geometry

Lattice parameters (Å, degrees): 3.864 6.733 6.819 109.06 90.00 90.00
Site moments in Bohr magnetons follow the coordinates.
Sites, in units of the cell vectors:
Pu 0.000 0.000 0.000  5.30
S 0.500 0.747 0.745  -0.04
S 0.000 0.751 0.256  -0.01
S 0.000 0.249 0.744  -0.01
S 0.500 0.253 0.255  -0.04
Ho 0.500 0.000 0.500  0.02
Ho 0.000 0.500 0.500  -0.04
Pa 0.500 0.500 0.000  0.29

Properties
Formation energy without anion corrections: -1.83 eV per atom
Total DFT energy (no corrections): -8.0185 eV/atom



No. 6
Material: HoPu2PaS4
Method: DFT, PBE
State: optimized geometry

Lattice parameters (Å, degrees): 3.892 6.799 6.770 109.23 90.00 90.00
Site moments in Bohr magnetons follow the coordinates.
Sites, in units of the cell vectors:
Pu 0.500 0.000 0.500  5.21
Pu 0.000 0.500 0.500  5.28
Ho 0.000 0.000 0.000  -0.03
S 0.500 0.753 0.753  -0.06
S 0.000 0.248 0.750  -0.06
S 0.500 0.247 0.247  -0.06
S 0.000 0.752 0.250  -0.06
Pa 0.500 0.500 0.000  0.01

Properties
Formation energy without anion corrections: -1.78 eV per atom
Total DFT energy (no corrections): -9.1907 eV/atom



Which value of total DFT energy (no corrections) does entry 4 give? -9.2530 eV/atom



What is the total DFT energy (no corrections) in the third record? -9.3464 eV/atom



Among the records above, which one has the highest total DFT energy (no corrections)? Ho2PuPaS4



What is the total DFT energy (no corrections) in the fourth record? -9.2530 eV/atom